[1]
## ZrCuSi2 (PBE-GGA)

Data for a relaxed structure of ZrCuSi2.

Summary:
Uncorrected formation energy (eV/atom): -0.265
Crystal system: tetragonal

Unit cell a=5.0646 b=5.0646 c=5.0646 alpha=135.94 beta=135.96 gamma=64.06
With the nearest neighbours (Å) after each atom.
Sites, in units of the cell vectors:
1 Si 0.5000 0.5000 0.0000  4 Si 2.69, 4 Cu 2.87, 4 Zr 2.87
2 Si 0.0000 0.0000 0.0000  4 Si 2.69, 4 Cu 2.87, 4 Zr 2.87
3 Cu 0.2500 0.7500 0.5000  4 Zr 2.69, 8 Si 2.87
4 Zr 0.7500 0.2500 0.5000  4 Cu 2.69, 8 Si 2.87

***

[2]
## Zr2CuSi (PBE-GGA)

Data for a relaxed structure of Zr2CuSi.

Summary:
Uncorrected formation energy (eV/atom): 0.214
Crystal system: cubic

Unit cell a=4.6397 b=4.6397 c=4.6397 alpha=60.00 beta=60.00 gamma=60.00
With the nearest neighbours (Å) after each atom.
Sites, in units of the cell vectors:
1 Zr 0.0000 0.0000 0.0000  4 Si 2.84, 4 Zr 2.84
2 Zr 0.2500 0.2500 0.2500  4 Cu 2.84, 4 Zr 2.84
3 Cu 0.5000 0.5000 0.5000  4 Zr 2.84, 4 Si 2.84
4 Si 0.7500 0.7500 0.7500  4 Cu 2.84, 4 Zr 2.84

***

[3]
## Zr2CuSi (PBE-GGA)

Data for a relaxed structure of Zr2CuSi.

Summary:
Uncorrected formation energy (eV/atom): -0.369
Crystal system: orthorhombic

Unit cell a=4.9135 b=2.9249 c=4.9146 alpha=89.99 beta=90.00 gamma=90.00
With the nearest neighbours (Å) after each atom.
Sites, in units of the cell vectors:
1 Si 0.5000 0.6250 0.8719  8 Zr 2.86, 2 Si 2.92
2 Zr 0.5000 0.1250 0.3724  4 Si 2.86, 4 Cu 2.86, 2 Zr 2.92
3 Zr 0.0000 0.1251 0.8771  4 Cu 2.85-2.87, 4 Si 2.86, 2 Zr 2.92
4 Cu 0.0000 0.6249 0.3786  8 Zr 2.85-2.87, 2 Cu 2.92